Crystalline NaPmNd at its relaxed geometry, computed with PBE.

Values from the calculation:
Formation energy in eV per atom: 0.070
Energy relative to the lowest polymorph listed for this composition in meV per atom: 0.0

CIF file:
```
data_NaPmNd
_chemical_formula_sum 'Na2 Pm2 Nd2'
_space_group_name_H-M_alt 'P 4/n m m'
_space_group_IT_number 129
_cell_length_a 3.599
_cell_length_b 3.599
_cell_length_c 16.612
_cell_angle_alpha 90.00
_cell_angle_beta 90.00
_cell_angle_gamma 90.00
loop_
_space_group_symop_operation_xyz
'x,y,z'
'-x,-y,-z'
'-y+1/2,x,z'
'y+1/2,-x,-z'
'-x+1/2,-y+1/2,z'
'x+1/2,y+1/2,-z'
'y,-x+1/2,z'
'-y,x+1/2,-z'
'x+1/2,-y,-z'
'-x+1/2,y,z'
'-y,-x,-z'
'y,x,z'
'-x,y+1/2,-z'
'x,-y+1/2,z'
'y+1/2,x+1/2,-z'
'-y+1/2,-x+1/2,z'
loop_
_atom_site_label
_atom_site_fract_x
_atom_site_fract_y
_atom_site_fract_z
Na1 0.250 0.250 0.089
Pm1 0.250 0.250 0.738
Nd1 0.250 0.250 0.417
```

Crystalline LiCu2Ru at its relaxed geometry, computed with PBE.

Values from the calculation:
Formation energy in eV per atom: 0.191
Energy relative to the lowest polymorph listed for this composition in meV per atom: 154.4

CIF file:
```
data_LiCu2Ru
_chemical_formula_sum 'Li1 Cu2 Ru1'
_space_group_name_H-M_alt 'P m m 2'
_space_group_IT_number 25
_cell_length_a 2.470
_cell_length_b 3.991
_cell_length_c 5.206
_cell_angle_alpha 90.00
_cell_angle_beta 90.00
_cell_angle_gamma 90.00
loop_
_space_group_symop_operation_xyz
'x,y,z'
'-x,-y,z'
'-x,y,z'
'x,-y,z'
loop_
_atom_site_label
_atom_site_fract_x
_atom_site_fract_y
_atom_site_fract_z
Li1 0.000 0.000 0.000
Cu1 0.000 0.000 0.504
Cu2 0.500 0.500 0.762
Ru1 0.500 0.500 0.266
```

Crystalline Lu2NiGe6 at its relaxed geometry, computed with PBE.

Values from the calculation:
Formation energy in eV per atom: -0.466

CIF file:
```
data_Lu2NiGe6
_chemical_formula_sum 'Lu4 Ni2 Ge12'
_space_group_name_H-M_alt 'A m m 2'
_space_group_IT_number 38
_cell_length_a 4.019
_cell_length_b 3.977
_cell_length_c 21.181
_cell_angle_alpha 90.00
_cell_angle_beta 90.00
_cell_angle_gamma 90.00
loop_
_space_group_symop_operation_xyz
'x,y,z'
'-x,-y,z'
'-x,y,z'
'x,-y,z'
'x,y+1/2,z+1/2'
'-x,-y+1/2,z+1/2'
'-x,y+1/2,z+1/2'
'x,-y+1/2,z+1/2'
loop_
_atom_site_label
_atom_site_fract_x
_atom_site_fract_y
_atom_site_fract_z
Lu1 0.000 0.000 0.000
Lu2 0.000 0.000 0.338
Ni1 0.500 0.000 0.781
Ge1 0.000 0.000 0.604
Ge2 0.000 0.000 0.723
Ge3 0.500 0.000 0.102
Ge4 0.500 0.000 0.222
Ge5 0.500 0.000 0.465
Ge6 0.500 0.000 0.889
```

Crystalline CoSb2Mo at its relaxed geometry, computed with PBE.

Values from the calculation:
Formation energy from raw total energies in eV per atom: 0.160

CIF file:
```
data_CoSb2Mo
_chemical_formula_sum 'Co1 Sb2 Mo1'
_space_group_name_H-M_alt 'P 4 m m'
_space_group_IT_number 99
_cell_length_a 3.055
_cell_length_b 3.055
_cell_length_c 8.762
_cell_angle_alpha 90.00
_cell_angle_beta 90.00
_cell_angle_gamma 90.00
loop_
_space_group_symop_operation_xyz
'x,y,z'
'-y,x,z'
'-x,-y,z'
'y,-x,z'
'-x,y,z'
'y,x,z'
'x,-y,z'
'-y,-x,z'
loop_
_atom_site_label
_atom_site_fract_x
_atom_site_fract_y
_atom_site_fract_z
Co1 0.000 0.000 0.000
Sb1 0.000 0.000 0.398
Sb2 0.500 0.500 0.813
Mo1 0.500 0.500 0.169
```

Crystalline TbSbAu at its relaxed geometry, computed with PBE.

Values from the calculation:
Formation energy from raw total energies in eV per atom: -0.788

CIF file:
```
data_TbSbAu
_chemical_formula_sum 'Tb1 Sb1 Au1'
_space_group_name_H-M_alt 'P 3 m 1'
_space_group_IT_number 156
_cell_length_a 4.5344
_cell_length_b 4.5344
_cell_length_c 4.2373
_cell_angle_alpha 90.00
_cell_angle_beta 90.00
_cell_angle_gamma 120.00
loop_
_space_group_symop_operation_xyz
'x,y,z'
'-y,x-y,z'
'-x+y,-x,z'
'-y,-x,z'
'-x+y,y,z'
'x,x-y,z'
loop_
_atom_site_label
_atom_site_fract_x
_atom_site_fract_y
_atom_site_fract_z
Tb1 0.0000 0.0000 0.0000
Sb1 0.3333 0.6667 0.4483
Au1 0.6667 0.3333 0.6460
```

Crystalline Ac2SiPt4Pb2 at its relaxed geometry, computed with PBE.

Values from the calculation:
Formation energy from raw total energies in eV per atom: -0.672

CIF file:
```
data_Ac2SiPt4Pb2
_chemical_formula_sum 'Ac4 Si2 Pt8 Pb4'
_space_group_name_H-M_alt 'I 4/m m m'
_space_group_IT_number 139
_space_group_name_Hall '-I 4 2'
_cell_length_a 6.940
_cell_length_b 6.940
_cell_length_c 8.933
_cell_angle_alpha 90.00
_cell_angle_beta 90.00
_cell_angle_gamma 90.00
loop_
_atom_site_label
_atom_site_fract_x
_atom_site_fract_y
_atom_site_fract_z
Ac1 0.000 0.500 0.250
Si1 0.000 0.000 0.000
Pt1 0.242 0.242 0.000
Pb1 0.000 0.000 0.327
```